# Ba7Ca6, relaxed, DFT GGA-PBE
# - ρ: 2.81 g/cm³
# - Size of the total moment: 0.00 μB per formula unit
# - Energy: -1.780 eV per atom
# - ΔE_f: 179 meV per atom
# - SG: R-3m, No. 166
data_Ba7Ca6
_cell_length_a 14.1707
_cell_length_b 14.1707
_cell_length_c 14.1707
_cell_angle_alpha 31.99
_cell_angle_beta 31.99
_cell_angle_gamma 31.99
_space_group_name_H-M_alt 'P 1'
_space_group_IT_number 1
loop_
_space_group_symop_operation_xyz
'x,y,z'
loop_
_atom_site_label
_atom_site_fract_x
_atom_site_fract_y
_atom_site_fract_z
Ca1 0.9541 0.9541 0.9541
Ca2 0.0459 0.0459 0.0459
Ca3 0.8524 0.8524 0.8524
Ca4 0.1476 0.1476 0.1476
Ca5 0.6669 0.6669 0.6669
Ca6 0.3331 0.3331 0.3331
Ba1 0.9187 0.4115 0.4115
Ba2 0.4115 0.4115 0.9187
Ba3 0.4115 0.9187 0.4115
Ba4 0.0813 0.5885 0.5885
Ba5 0.5885 0.0813 0.5885
Ba6 0.5885 0.5885 0.0813
Ba7 0.5000 0.5000 0.5000